(1)
MgReIr2: optimized geometry, PBE. Values from VASP.

Geometry as Quantum ESPRESSO input:
```
&SYSTEM
  ibrav = 0, nat = 4, ntyp = 3
/
ATOMIC_SPECIES
Mg 24.30 Mg.upf
Re 186.21 Re.upf
Ir 192.22 Ir.upf
ATOMIC_POSITIONS angstrom
Mg 0.000 0.000 0.000
Re 2.035 2.035 0.000
Ir 0.000 2.035 1.816
Ir 2.035 0.000 1.816
CELL_PARAMETERS angstrom
4.069 0.000 0.000
0.000 4.069 0.000
0.000 0.000 3.632
```

Summary:
Calculated volume (A^3/atom): 15.0
ΔE_f (eV/atom): 0.08
E (eV/cell): -31.4
Total magnetization (μB/f.u.): 0.37

(2)
MgRe2Ir: optimized geometry, PBE. Values from VASP.

Geometry as Quantum ESPRESSO input:
```
&SYSTEM
  ibrav = 0, nat = 4, ntyp = 3
/
ATOMIC_SPECIES
Mg 24.30 Mg.upf
Re 186.21 Re.upf
Ir 192.22 Ir.upf
ATOMIC_POSITIONS angstrom
Mg 0.000 0.000 0.000
Re 0.000 0.000 2.774
Re 1.391 1.968 1.558
Ir 1.391 1.968 4.309
CELL_PARAMETERS angstrom
2.781 0.000 0.000
0.000 3.937 0.000
0.000 0.000 5.557
```

Summary:
Calculated volume (A^3/atom): 15.2
ΔE_f (eV/atom): 0.09
E (eV/cell): -35.0
Total magnetization (μB/f.u.): 0.00

(3)
MgRe2Ir2: optimized geometry, PBE. Values from VASP.

Geometry as Quantum ESPRESSO input:
```
&SYSTEM
  ibrav = 0, nat = 10, ntyp = 3
/
ATOMIC_SPECIES
Mg 24.30 Mg.upf
Re 186.21 Re.upf
Ir 192.22 Ir.upf
ATOMIC_POSITIONS angstrom
Mg 0.000 0.000 0.000
Mg 3.837 3.837 0.000
Re 1.318 2.519 1.375
Re 2.519 6.356 1.375
Re 5.155 1.318 1.375
Re 6.356 5.155 1.375
Ir 0.948 4.785 0.000
Ir 2.889 0.948 0.000
Ir 4.785 6.726 0.000
Ir 6.726 2.889 0.000
CELL_PARAMETERS angstrom
7.674 0.000 0.000
0.000 7.674 0.000
0.000 0.000 2.750
```

Summary:
Calculated volume (A^3/atom): 16.2
ΔE_f (eV/atom): 0.05
E (eV/cell): -88.0
Total magnetization (μB/f.u.): 0.00

Which value of E does entry 1 give?
-31.4 eV/cell

Please write out number 1 again, unchanged.
MgReIr2: optimized geometry, PBE. Values from VASP.

Geometry as Quantum ESPRESSO input:
```
&SYSTEM
  ibrav = 0, nat = 4, ntyp = 3
/
ATOMIC_SPECIES
Mg 24.30 Mg.upf
Re 186.21 Re.upf
Ir 192.22 Ir.upf
ATOMIC_POSITIONS angstrom
Mg 0.000 0.000 0.000
Re 2.035 2.035 0.000
Ir 0.000 2.035 1.816
Ir 2.035 0.000 1.816
CELL_PARAMETERS angstrom
4.069 0.000 0.000
0.000 4.069 0.000
0.000 0.000 3.632
```

Summary:
Calculated volume (A^3/atom): 15.0
ΔE_f (eV/atom): 0.08
E (eV/cell): -31.4
Total magnetization (μB/f.u.): 0.37

Among the records above, which one has the highest E?
MgReIr2